#P
{"formula": "AgRhCl2", "functional": "meta-GGA SCAN", "state": "single point on PBEsol structure", "lattice_angstrom": [[3.1500, 0.0000, 0.0000], [0.0000, 3.8713, 0.0000], [0.0000, 0.0000, 5.8072]], "species": ["Ag", "Rh", "Cl", "Cl"], "fractional_positions": [[0.0000, 0.5000, 0.5000], [0.5000, 0.5000, 0.0000], [0.5000, 0.0000, 0.5000], [0.0000, 0.0000, 0.0000]], "magnetic_moment_mub_per_cell": 1.527}

***

#Q
{"formula": "AgRhCl2", "functional": "meta-GGA SCAN", "state": "single point on PBEsol structure", "lattice_angstrom": [[-2.5126, 2.2927, -3.0315], [-4.1422, -1.5181, -1.1390], [-3.7109, 2.2644, 1.3643]], "species": ["Rh", "Ag", "Cl", "Cl"], "fractional_positions": [[0.5000, 0.5000, 0.5000], [0.0000, 0.0000, 0.0000], [0.7500, 0.7500, 0.7500], [0.2500, 0.2500, 0.2500]], "magnetic_moment_mub_per_cell": 2.000}

***

#R
{"formula": "AgRhCl2", "functional": "meta-GGA SCAN", "state": "single point on PBEsol structure", "lattice_angstrom": [[3.2466, 0.0000, 0.0000], [0.0000, 3.2881, -0.1914], [-1.6233, -1.2239, 7.2193]], "species": ["Ag", "Cl", "Cl", "Rh"], "fractional_positions": [[0.1916, 0.6911, 0.3832], [0.7801, 0.2791, 0.5601], [0.9917, 0.9926, 0.9834], [0.5366, 0.5372, 0.0733]], "magnetic_moment_mub_per_cell": 0.000}

***

Most stable of them? #R.